[1]
# NaTlCd2Cl6, optimized geometry, DFT GGA-PBE
# Energy relative to the elements, uncorrected   -1195 meV per atom
# Crystal system   monoclinic
data_NaTlCd2Cl6
_chemical_formula_sum 'Na4 Tl4 Cd8 Cl24'
_space_group_name_H-M_alt 'C 1 2/c 1'
_space_group_IT_number 15
_cell_length_a 13.610
_cell_length_b 13.301
_cell_length_c 7.229
_cell_angle_alpha 90.00
_cell_angle_beta 97.68
_cell_angle_gamma 90.00
loop_
_space_group_symop_operation_xyz
'x,y,z'
'-x,-y,-z'
'-x,y,-z+1/2'
'x,-y,z+1/2'
'x+1/2,y+1/2,z'
'-x+1/2,-y+1/2,-z'
'-x+1/2,y+1/2,-z+1/2'
'x+1/2,-y+1/2,z+1/2'
loop_
_atom_site_label
_atom_site_type_symbol
_atom_site_fract_x
_atom_site_fract_y
_atom_site_fract_z
Na1 Na 0.000 0.219 0.250
Tl1 Tl 0.000 0.406 0.750
Cd1 Cd 0.194 0.091 0.783
Cl1 Cl 0.113 0.229 0.595
Cl2 Cl 0.124 0.390 0.158
Cl3 Cl 0.138 0.072 0.108



[2]
# MoOs2, optimized geometry, DFT GGA-PBE
# Crystal system   orthorhombic
# Excess energy over the best structure of this formula in the dataset   126.9 meV per atom
data_MoOs2
_chemical_formula_sum 'Mo2 Os4'
_space_group_name_H-M_alt 'I m m m'
_space_group_IT_number 71
_space_group_name_Hall '-I 2 2'
_cell_length_a 2.756
_cell_length_b 3.889
_cell_length_c 8.324
_cell_angle_alpha 90.00
_cell_angle_beta 90.00
_cell_angle_gamma 90.00
loop_
_atom_site_label
_atom_site_type_symbol
_atom_site_fract_x
_atom_site_fract_y
_atom_site_fract_z
Mo1 Mo 0.000 0.000 0.000
Os1 Os 0.000 0.000 0.330



[3]
# PmTm6Sc, optimized geometry, DFT GGA-PBE
# Crystal system   trigonal
# Excess energy over the best structure of this formula in the dataset   209.1 meV per atom
data_PmTm6Sc
_chemical_formula_sum 'Pm3 Tm18 Sc3'
_space_group_name_H-M_alt 'R -3 m'
_space_group_IT_number 166
_space_group_name_Hall '-R 3 2"'
_cell_length_a 11.2895
_cell_length_b 11.2895
_cell_length_c 6.6543
_cell_angle_alpha 90.00
_cell_angle_beta 90.00
_cell_angle_gamma 120.00
loop_
_atom_site_label
_atom_site_type_symbol
_atom_site_fract_x
_atom_site_fract_y
_atom_site_fract_z
Pm1 Pm 0.0000 0.0000 0.0000
Tm1 Tm 0.0098 0.5049 0.2533
Sc1 Sc 0.0000 0.0000 0.5000



[4]
# MgSc2Cu, optimized geometry, DFT GGA-PBE
# E_tot   -18.98 eV for the cell shown
# Crystal system   tetragonal
data_MgSc2Cu
_chemical_formula_sum 'Mg1 Sc2 Cu1'
_space_group_name_H-M_alt 'P 4/m m m'
_space_group_IT_number 123
_space_group_name_Hall '-P 4 2'
_cell_length_a 3.265
_cell_length_b 3.265
_cell_length_c 7.693
_cell_angle_alpha 90.00
_cell_angle_beta 90.00
_cell_angle_gamma 90.00
loop_
_atom_site_label
_atom_site_type_symbol
_atom_site_fract_x
_atom_site_fract_y
_atom_site_fract_z
Mg1 Mg 0.000 0.000 0.000
Sc1 Sc 0.500 0.500 0.293
Cu1 Cu 0.000 0.000 0.500



[5]
# GeS2N2, optimized geometry, DFT GGA-PBE
# Energy relative to the elements, uncorrected   -107 meV per atom
# Crystal system   monoclinic
# Excess energy over the best structure of this formula in the dataset   0.0 meV per atom
data_GeS2N2
_chemical_formula_sum 'Ge2 S4 N4'
_space_group_name_H-M_alt 'C 1 2/m 1'
_space_group_IT_number 12
_cell_length_a 5.992
_cell_length_b 3.458
_cell_length_c 11.161
_cell_angle_alpha 90.00
_cell_angle_beta 94.31
_cell_angle_gamma 90.00
loop_
_space_group_symop_operation_xyz
'x,y,z'
'-x,-y,-z'
'-x,y,-z'
'x,-y,z'
'x+1/2,y+1/2,z'
'-x+1/2,-y+1/2,-z'
'-x+1/2,y+1/2,-z'
'x+1/2,-y+1/2,z'
loop_
_atom_site_label
_atom_site_type_symbol
_atom_site_fract_x
_atom_site_fract_y
_atom_site_fract_z
Ge1 Ge 0.000 0.000 0.000
S1 S 0.184 0.500 0.125
N1 N 0.020 0.000 0.452



[6]
# ZrSCl2O, optimized geometry, DFT GGA-PBE
# Energy relative to the elements, uncorrected   -569 meV per atom
# Crystal system   tetragonal
# Excess energy over the best structure of this formula in the dataset   0.0 meV per atom
data_ZrSCl2O
_chemical_formula_sum 'Zr1 S1 Cl2 O1'
_space_group_name_H-M_alt 'P 4/m m m'
_space_group_IT_number 123
_space_group_name_Hall '-P 4 2'
_cell_length_a 5.075
_cell_length_b 5.075
_cell_length_c 4.934
_cell_angle_alpha 90.00
_cell_angle_beta 90.00
_cell_angle_gamma 90.00
loop_
_atom_site_label
_atom_site_type_symbol
_atom_site_fract_x
_atom_site_fract_y
_atom_site_fract_z
Zr1 Zr 0.000 0.000 0.000
S1 S 0.000 0.000 0.500
Cl1 Cl 0.000 0.500 0.000
O1 O 0.500 0.500 0.500